(1)
Material: SrTi3Se
Method: DFT, PBE
State: optimized geometry

Properties
SG: No. 221
total magnetic moment: 1.30 μB per formula unit

a = 4.836 Å, b = 4.836 Å, c = 4.836 Å
α = 90.00°, β = 90.00°, γ = 90.00°
Last column: magnetic moment on the atom in μB.
Positions (direct):
Se1 0.500 0.500 0.500  -0.02
Sr1 0.000 0.000 0.000  -0.02
Ti1 0.000 0.000 0.500  0.24
Ti2 0.000 0.500 0.000  0.33
Ti3 0.500 0.000 0.000  0.43


(2)
Material: SrTi3Se
Method: DFT, PBE
State: optimized geometry

Properties
SG: No. 221
total magnetic moment: 0.00 μB per formula unit

a = 4.894 Å, b = 4.894 Å, c = 4.894 Å
α = 90.00°, β = 90.00°, γ = 90.00°
Positions (direct):
Ti1 0.500 0.000 0.000
Ti2 0.000 0.500 0.000
Ti3 0.000 0.000 0.500
Se1 0.000 0.000 0.000
Sr1 0.500 0.500 0.500


The most stable arrangement is (2), and the next structure is 167.9 kJ/mol of atoms less stable.


(1)
Material: SrTlSe
Method: DFT, PBE
State: optimized geometry

Properties
SG: No. 216
total magnetic moment: 0.00 μB per formula unit

a = 5.326 Å, b = 5.326 Å, c = 5.326 Å
α = 60.00°, β = 60.00°, γ = 60.00°
Positions (direct):
Se1 0.500 0.500 0.500
Tl1 0.000 0.000 0.000
Sr1 0.750 0.750 0.750


(2)
Material: SrTlSe
Method: DFT, PBE
State: optimized geometry

Properties
SG: No. 156
total magnetic moment: 0.00 μB per formula unit

a = 5.077 Å, b = 5.077 Å, c = 4.251 Å
α = 90.00°, β = 90.00°, γ = 120.00°
Positions (direct):
Se1 0.000 0.000 0.918
Tl1 0.333 0.667 0.775
Sr1 0.667 0.333 0.307


(3)
Material: SrTlSe
Method: DFT, PBE
State: optimized geometry

Properties
SG: No. 107
total magnetic moment: 0.00 μB per formula unit

a = 6.978 Å, b = 6.978 Å, c = 4.264 Å
α = 72.21°, β = 72.21°, γ = 35.58°
Positions (direct):
Tl1 0.683 0.683 0.317
Sr1 0.400 0.400 0.600
Se1 0.917 0.917 0.083


(4)
Material: SrTlSe
Method: DFT, PBE
State: optimized geometry

Properties
SG: No. 216
total magnetic moment: 0.00 μB per formula unit

a = 5.261 Å, b = 5.261 Å, c = 5.261 Å
α = 60.00°, β = 60.00°, γ = 60.00°
Positions (direct):
Se1 0.750 0.750 0.750
Tl1 0.500 0.500 0.500
Sr1 0.000 0.000 0.000


The most stable arrangement is (3), and the next structure is 10.4 kJ/mol of atoms less stable.